(1)
First-principles (PBE) data for a geometry-optimized TbDy2Sc2 structure, as listed in Alexandria.

The space group is Immm (No. 71) and the conventional cell measures 3.397, 5.430 and 15.578 Å, with angles of 90.00, 90.00 and 90.00 degrees. The inequivalent atoms are Tb at (0.000, 0.000, 0.000), Dy at (0.000, 0.500, 0.288) and Sc at (0.000, 0.000, 0.403).

The calculation puts the energy of formation from the pure elements at 0.061 eV per atom. The calculation puts the polymorph energy (0 for the lowest one) at 0.0 kJ per mole of atoms. Its total energy is -5.2381 eV/atom. Its density of states at the Fermi level is 19.8 states/eV/cell.

(2)
First-principles (PBE) data for a geometry-optimized TbDy12Sc6 structure, as listed in Alexandria.

The space group is Im-3 (No. 204) and the conventional cell measures 10.430, 10.430 and 10.430 Å, with angles of 90.00, 90.00 and 90.00 degrees. The inequivalent atoms are Tb at (0.000, 0.000, 0.000), Dy at (0.000, 0.267, 0.197) and Sc at (0.000, 0.138, 0.500).

The calculation puts the energy of formation from the pure elements at 0.240 eV per atom. The calculation puts the polymorph energy (0 for the lowest one) at 0.0 kJ per mole of atoms. Its total energy is -4.9095 eV/atom. Its density of states at the Fermi level is 58.1 states/eV/cell.

(3)
First-principles (PBE) data for a geometry-optimized TbDy3Sc6 structure, as listed in Alexandria.

The space group is Cmc2_1 (No. 36) and the conventional cell measures 10.488, 17.939 and 5.854 Å, with angles of 90.00, 90.00 and 90.00 degrees. The inequivalent atoms are Tb at (0.000, 0.212, 0.000), Dy at (0.000, 0.397, 0.897), Dy at (0.176, 0.105, 0.303), Sc at (0.000, 0.049, 0.767), Sc at (0.000, 0.290, 0.470), Sc at (0.167, 0.447, 0.353) and Sc at (0.241, 0.215, 0.697).

The calculation puts the energy of formation from the pure elements at 0.158 eV per atom. The calculation puts the polymorph energy (0 for the lowest one) at 0.0 kJ per mole of atoms. Its total energy is -5.4850 eV/atom. Its density of states at the Fermi level is 61.6 states/eV/cell.

(4)
First-principles (PBE) data for a geometry-optimized Tb10DySc6 structure, as listed in Alexandria.

The space group is P-31m (No. 162) and the conventional cell measures 9.3796, 9.3796 and 6.6388 Å, with angles of 90.00, 90.00 and 120.00 degrees. The inequivalent atoms are Tb at (0.0000, 0.2821, 0.3202), Tb at (0.3333, 0.6667, 0.0000), Tb at (0.3333, 0.6667, 0.5000), Dy at (0.0000, 0.0000, 0.0000) and Sc at (0.0000, 0.3657, 0.8211).

The calculation puts the energy of formation from the pure elements at 0.138 eV per atom. Its total energy is -5.0908 eV/atom. Its density of states at the Fermi level is 31.3 states/eV/cell.

(5)
First-principles (PBE) data for a geometry-optimized Tb2Dy5Sc4 structure, as listed in Alexandria.

The space group is P2/m (No. 10) and the conventional cell measures 8.675, 3.511 and 10.764 Å, with angles of 90.00, 94.96 and 90.00 degrees. The inequivalent atoms are Tb at (0.075, 0.000, 0.137), Dy at (0.149, 0.000, 0.634), Dy at (0.454, 0.000, 0.168), Dy at (0.500, 0.000, 0.500), Sc at (0.201, 0.500, 0.372) and Sc at (0.250, 0.500, 0.927).

The calculation puts the energy of formation from the pure elements at 0.113 eV per atom. The calculation puts the polymorph energy (0 for the lowest one) at 0.0 kJ per mole of atoms. Its total energy is -5.1232 eV/atom. Its density of states at the Fermi level is 16.7 states/eV/cell.

(6)
First-principles (PBE) data for a geometry-optimized TbDy12Sc5 structure, as listed in Alexandria.

The space group is Cmmm (No. 65) and the conventional cell measures 4.914, 14.785 and 14.594 Å, with angles of 90.00, 90.00 and 90.00 degrees. The inequivalent atoms are Tb at (0.000, 0.000, 0.000), Dy at (0.000, 0.000, 0.340), Dy at (0.000, 0.168, 0.165), Dy at (0.000, 0.333, 0.340), Dy at (0.000, 0.500, 0.167), Sc at (0.000, 0.167, 0.500), Sc at (0.000, 0.331, 0.000) and Sc at (0.000, 0.500, 0.500).

The calculation puts the energy of formation from the pure elements at 0.041 eV per atom. Its total energy is -5.0428 eV/atom. Its density of states at the Fermi level is 53.1 states/eV/cell.

(7)
First-principles (PBE) data for a geometry-optimized Tb2Dy2Sc5 structure, as listed in Alexandria.

The space group is Ima2 (No. 46) and the conventional cell measures 11.629, 8.306 and 10.500 Å, with angles of 90.00, 90.00 and 90.00 degrees. The inequivalent atoms are Tb at (0.105, 0.126, 0.000), Dy at (0.000, 0.000, 0.566), Dy at (0.250, 0.107, 0.690), Sc at (0.099, 0.693, 0.307), Sc at (0.126, 0.062, 0.304) and Sc at (0.250, 0.726, 0.562).

The calculation puts the energy of formation from the pure elements at 0.195 eV per atom. The calculation puts the polymorph energy (0 for the lowest one) at 12.0 kJ per mole of atoms. Its total energy is -5.3743 eV/atom. Its density of states at the Fermi level is 52.0 states/eV/cell.

(8)
First-principles (PBE) data for a geometry-optimized TbDy2Sc3 structure, as listed in Alexandria.

The space group is C2/m (No. 12) and the conventional cell measures 15.894, 5.295 and 9.716 Å, with angles of 90.00, 123.04 and 90.00 degrees. The inequivalent atoms are Tb at (0.135, 0.000, 0.154), Dy at (0.032, 0.500, 0.846), Dy at (0.199, 0.000, 0.846), Sc at (0.051, 0.000, 0.402), Sc at (0.116, 0.500, 0.598) and Sc at (0.216, 0.500, 0.402).

The calculation puts the energy of formation from the pure elements at 0.079 eV per atom. The calculation puts the polymorph energy (0 for the lowest one) at 1.8 kJ per mole of atoms. Its total energy is -5.3929 eV/atom. Its density of states at the Fermi level is 43.5 states/eV/cell.

(9)
First-principles (PBE) data for a geometry-optimized TbDy6Sc4 structure, as listed in Alexandria.

The space group is P-6m2 (No. 187) and the conventional cell measures 8.6596, 8.6596 and 5.2387 Å, with angles of 90.00, 90.00 and 120.00 degrees. The inequivalent atoms are Tb at (0.0000, 0.0000, 0.0000), Dy at (0.1994, 0.3988, 0.5000), Dy at (0.5332, 0.0665, 0.0000), Sc at (0.3333, 0.6667, 0.0000) and Sc at (0.4272, 0.2136, 0.5000).

The calculation puts the energy of formation from the pure elements at 0.338 eV per atom. Its total energy is -4.8951 eV/atom. Its density of states at the Fermi level is 19.4 states/eV/cell.

(10)
First-principles (PBE) data for a geometry-optimized Tb4Dy2Sc3 structure, as listed in Alexandria.

The space group is C2/m (No. 12) and the conventional cell measures 18.088, 3.494 and 9.259 Å, with angles of 90.00, 115.85 and 90.00 degrees. The inequivalent atoms are Tb at (0.019, 0.000, 0.337), Tb at (0.186, 0.500, 0.332), Dy at (0.165, 0.000, 0.993), Sc at (0.000, 0.500, 0.000) and Sc at (0.148, 0.500, 0.666).

The calculation puts the energy of formation from the pure elements at 0.027 eV per atom. The calculation puts the polymorph energy (0 for the lowest one) at 0.0 kJ per mole of atoms. Its total energy is -5.1638 eV/atom. Its density of states at the Fermi level is 26.0 states/eV/cell.

Number 1: V 287.3 Å³ per cell. Number 2: V 1134.6 Å³ per cell. Number 3: V 1101.4 Å³ per cell. Number 4: V 505.8 Å³ per cell. Number 5: V 326.6 Å³ per cell. Number 6: V 1060.4 Å³ per cell. Number 7: V 1014.2 Å³ per cell. Number 8: V 685.4 Å³ per cell. Number 9: V 340.2 Å³ per cell. Number 10: V 526.7 Å³ per cell.